Version w
The following is a GGA+U calculation of a relaxed BaHo2CoO5 crystal, from Alexandria via LeMat-Bulk.

Lattice parameters (Å, degrees): 12.330 5.740 7.106 90.00 90.00 90.00
Space group Pnma (No. 62)
Symmetry-distinct sites (fractional):
Ba (0.100, 0.250, 0.079) (multiplicity 4)
Ho (0.074, 0.750, 0.401) (multiplicity 4)
Ho (0.209, 0.250, 0.619) (multiplicity 4)
Co (0.152, 0.750, 0.807) (multiplicity 4)
O (0.066, 0.503, 0.665) (multiplicity 8)
O (0.102, 0.750, 0.076) (multiplicity 4)
O (0.225, 0.001, 0.361) (multiplicity 8)

Fermi-level density of states: 0.00 states/eV per cell

=====

Version x
The following is a GGA+U calculation of a relaxed BaHo2CoO5 crystal, from Alexandria via LeMat-Bulk.

Lattice parameters (Å, degrees): 3.774 5.809 11.511 90.00 90.00 90.00
Space group Immm (No. 71)
Symmetry-distinct sites (fractional):
Ba (0.000, 0.000, 0.000) (multiplicity 2)
Ho (0.000, 0.500, 0.204) (multiplicity 4)
Co (0.000, 0.000, 0.500) (multiplicity 2)
O (0.000, 0.241, 0.348) (multiplicity 8)
O (0.000, 0.500, 0.000) (multiplicity 2)

=====

Question: of the structures shown, which is the least stable? Reply: version x.